# PBE La2AlCd2, relaxed
# Energy of formation from the pure elements   -0.3276 eV per atom
# Density   6443 kg/m3
# Total magnetic moment   0.0 μB per formula unit
# Offset from the most stable computed form   0.000 eV per atom
data_La2AlCd2
_chemical_formula_sum 'La8 Al4 Cd8'
_space_group_name_H-M_alt 'C 1 2/m 1'
_space_group_IT_number 12
_cell_length_a 11.469
_cell_length_b 4.876
_cell_length_c 10.441
_cell_angle_alpha 90.00
_cell_angle_beta 110.76
_cell_angle_gamma 90.00
loop_
_space_group_symop_operation_xyz
'x,y,z'
'-x,-y,-z'
'-x,y,-z'
'x,-y,z'
'x+1/2,y+1/2,z'
'-x+1/2,-y+1/2,-z'
'-x+1/2,y+1/2,-z'
'x+1/2,-y+1/2,z'
loop_
_atom_site_label
_atom_site_type_symbol
_atom_site_fract_x
_atom_site_fract_y
_atom_site_fract_z
La1 La 0.099 0.000 0.380
La2 La 0.177 0.000 0.051
Al1 Al 0.229 0.000 0.725
Cd1 Cd 0.009 0.500 0.146
Cd2 Cd 0.109 0.500 0.627

=====

# PBE La6AlCd, relaxed
# Energy of formation from the pure elements   -0.1025 eV per atom
# Density   6163 kg/m3
# Total magnetic moment   0.0 μB per formula unit
# Offset from the most stable computed form   0.061 eV per atom
data_La6AlCd
_chemical_formula_sum 'La6 Al1 Cd1'
_space_group_name_H-M_alt 'P -1'
_space_group_IT_number 2
_cell_length_a 6.390
_cell_length_b 6.411
_cell_length_c 6.416
_cell_angle_alpha 92.33
_cell_angle_beta 92.49
_cell_angle_gamma 92.35
loop_
_space_group_symop_operation_xyz
'x,y,z'
'-x,-y,-z'
loop_
_atom_site_label
_atom_site_type_symbol
_atom_site_fract_x
_atom_site_fract_y
_atom_site_fract_z
La1 La 0.029 0.049 0.254
La2 La 0.245 0.470 0.951
La3 La 0.453 0.745 0.468
Al1 Al 0.000 0.500 0.500
Cd1 Cd 0.500 0.000 0.000

=====

# PBE LaAl2Cd6, relaxed
# Energy of formation from the pure elements   -0.1746 eV per atom
# Density   7048 kg/m3
# Total magnetic moment   0.0 μB per formula unit
data_LaAl2Cd6
_chemical_formula_sum 'La1 Al2 Cd6'
_space_group_name_H-M_alt 'P 4/m m m'
_space_group_IT_number 123
_space_group_name_Hall '-P 4 2'
_cell_length_a 4.524
_cell_length_b 4.524
_cell_length_c 9.982
_cell_angle_alpha 90.00
_cell_angle_beta 90.00
_cell_angle_gamma 90.00
loop_
_atom_site_label
_atom_site_type_symbol
_atom_site_fract_x
_atom_site_fract_y
_atom_site_fract_z
La1 La 0.000 0.000 0.000
Al1 Al 0.500 0.500 0.126
Cd1 Cd 0.000 0.000 0.500
Cd2 Cd 0.000 0.500 0.284
Cd3 Cd 0.500 0.500 0.500

=====

# PBE La8Al2Cd, relaxed
# Energy of formation from the pure elements   -0.1566 eV per atom
# Density   6059 kg/m3
# Total magnetic moment   0.0 μB per formula unit
data_La8Al2Cd
_chemical_formula_sum 'La16 Al4 Cd2'
_space_group_name_H-M_alt 'I m m m'
_space_group_IT_number 71
_space_group_name_Hall '-I 2 2'
_cell_length_a 5.177
_cell_length_b 8.968
_cell_length_c 15.084
_cell_angle_alpha 90.00
_cell_angle_beta 90.00
_cell_angle_gamma 90.00
loop_
_atom_site_label
_atom_site_type_symbol
_atom_site_fract_x
_atom_site_fract_y
_atom_site_fract_z
La1 La 0.000 0.000 0.150
La2 La 0.000 0.218 0.344
La3 La 0.000 0.334 0.000
Al1 Al 0.000 0.500 0.199
Cd1 Cd 0.000 0.500 0.500

=====

# PBE La3Al2Cd3, relaxed
# Energy of formation from the pure elements   -0.3585 eV per atom
# Density   6121 kg/m3
# Total magnetic moment   0.0 μB per formula unit
data_La3Al2Cd3
_chemical_formula_sum 'La12 Al8 Cd12'
_space_group_name_H-M_alt 'C m c m'
_space_group_IT_number 63
_space_group_name_Hall '-C 2c 2'
_cell_length_a 4.818
_cell_length_b 11.395
_cell_length_c 15.969
_cell_angle_alpha 90.00
_cell_angle_beta 90.00
_cell_angle_gamma 90.00
loop_
_atom_site_label
_atom_site_type_symbol
_atom_site_fract_x
_atom_site_fract_y
_atom_site_fract_z
La1 La 0.000 0.094 0.106
La2 La 0.000 0.376 0.250
Al1 Al 0.000 0.202 0.602
Cd1 Cd 0.000 0.333 0.750
Cd2 Cd 0.000 0.380 0.036

=====

# PBE La2AlCd, relaxed
# Energy of formation from the pure elements   -0.1221 eV per atom
# Density   5587 kg/m3
# Total magnetic moment   0.0 μB per formula unit
data_La2AlCd
_chemical_formula_sum 'La6 Al3 Cd3'
_space_group_name_H-M_alt 'R -3 m'
_space_group_IT_number 166
_space_group_name_Hall '-R 3 2"'
_cell_length_a 3.8163
_cell_length_b 3.8163
_cell_length_c 29.4906
_cell_angle_alpha 90.00
_cell_angle_beta 90.00
_cell_angle_gamma 120.00
loop_
_atom_site_label
_atom_site_type_symbol
_atom_site_fract_x
_atom_site_fract_y
_atom_site_fract_z
La1 La 0.0000 0.0000 0.2441
Al1 Al 0.0000 0.0000 0.5000
Cd1 Cd 0.0000 0.0000 0.0000

=====

# PBE La3Al7Cd2, relaxed
# Energy of formation from the pure elements   -0.3899 eV per atom
# Density   5182 kg/m3
# Total magnetic moment   0.0 μB per formula unit
data_La3Al7Cd2
_chemical_formula_sum 'La9 Al21 Cd6'
_space_group_name_H-M_alt 'R -3 m'
_space_group_IT_number 166
_space_group_name_Hall '-R 3 2"'
_cell_length_a 5.7846
_cell_length_b 5.7846
_cell_length_c 27.5488
_cell_angle_alpha 90.00
_cell_angle_beta 90.00
_cell_angle_gamma 120.00
loop_
_atom_site_label
_atom_site_type_symbol
_atom_site_fract_x
_atom_site_fract_y
_atom_site_fract_z
La1 La 0.0000 0.0000 0.0000
La2 La 0.0000 0.0000 0.1410
Al1 Al 0.0000 0.0000 0.5000
Al2 Al 0.0076 0.5038 0.9147
Cd1 Cd 0.0000 0.0000 0.3358

=====

# PBE La3AlCd2, relaxed
# Energy of formation from the pure elements   -0.3316 eV per atom
# Density   6265 kg/m3
# Total magnetic moment   0.0 μB per formula unit
# Offset from the most stable computed form   0.010 eV per atom
data_La3AlCd2
_chemical_formula_sum 'La6 Al2 Cd4'
_space_group_name_H-M_alt 'P -3 m 1'
_space_group_IT_number 164
_space_group_name_Hall '-P 3 2"'
_cell_length_a 5.5045
_cell_length_b 5.5045
_cell_length_c 13.5054
_cell_angle_alpha 90.00
_cell_angle_beta 90.00
_cell_angle_gamma 120.00
loop_
_atom_site_label
_atom_site_type_symbol
_atom_site_fract_x
_atom_site_fract_y
_atom_site_fract_z
La1 La 0.0000 0.0000 0.2444
La2 La 0.3333 0.6667 0.4103
La3 La 0.3333 0.6667 0.9163
Al1 Al 0.3333 0.6667 0.1639
Cd1 Cd 0.0000 0.0000 0.0000
Cd2 Cd 0.0000 0.0000 0.5000
Cd3 Cd 0.3333 0.6667 0.6649

=====

# PBE La6AlCd, relaxed
# Energy of formation from the pure elements   -0.1637 eV per atom
# Density   6372 kg/m3
# Total magnetic moment   0.0 μB per formula unit
# Offset from the most stable computed form   0.000 eV per atom
data_La6AlCd
_chemical_formula_sum 'La6 Al1 Cd1'
_space_group_name_H-M_alt 'P 4/m m m'
_space_group_IT_number 123
_space_group_name_Hall '-P 4 2'
_cell_length_a 5.024
_cell_length_b 5.024
_cell_length_c 10.042
_cell_angle_alpha 90.00
_cell_angle_beta 90.00
_cell_angle_gamma 90.00
loop_
_atom_site_label
_atom_site_type_symbol
_atom_site_fract_x
_atom_site_fract_y
_atom_site_fract_z
La1 La 0.000 0.000 0.000
La2 La 0.000 0.000 0.500
La3 La 0.000 0.500 0.242
Al1 Al 0.500 0.500 0.000
Cd1 Cd 0.500 0.500 0.500

=====

# PBE La6AlCd5, relaxed
# Energy of formation from the pure elements   -0.3363 eV per atom
# Density   6570 kg/m3
# Total magnetic moment   0.0 μB per formula unit
data_La6AlCd5
_chemical_formula_sum 'La6 Al1 Cd5'
_space_group_name_H-M_alt 'P 1 2/m 1'
_space_group_IT_number 10
_cell_length_a 5.526
_cell_length_b 7.837
_cell_length_c 8.754
_cell_angle_alpha 90.00
_cell_angle_beta 108.47
_cell_angle_gamma 90.00
loop_
_space_group_symop_operation_xyz
'x,y,z'
'-x,-y,-z'
'-x,y,-z'
'x,-y,z'
loop_
_atom_site_label
_atom_site_type_symbol
_atom_site_fract_x
_atom_site_fract_y
_atom_site_fract_z
La1 La 0.000 0.238 0.000
La2 La 0.339 0.243 0.676
Al1 Al 0.500 0.000 0.000
Cd1 Cd 0.167 0.500 0.336
Cd2 Cd 0.169 0.000 0.342
Cd3 Cd 0.500 0.500 0.000

=====

# PBE La5AlCd4, relaxed
# Energy of formation from the pure elements   -0.3360 eV per atom
# Density   6511 kg/m3
# Total magnetic moment   0.4 μB per formula unit
data_La5AlCd4
_chemical_formula_sum 'La5 Al1 Cd4'
_space_group_name_H-M_alt 'P 4/m m m'
_space_group_IT_number 123
_space_group_name_Hall '-P 4 2'
_cell_length_a 3.879
_cell_length_b 3.879
_cell_length_c 19.847
_cell_angle_alpha 90.00
_cell_angle_beta 90.00
_cell_angle_gamma 90.00
loop_
_atom_site_label
_atom_site_type_symbol
_atom_site_fract_x
_atom_site_fract_y
_atom_site_fract_z
La1 La 0.000 0.000 0.000
La2 La 0.000 0.000 0.203
La3 La 0.000 0.000 0.408
Al1 Al 0.500 0.500 0.500
Cd1 Cd 0.500 0.500 0.101
Cd2 Cd 0.500 0.500 0.305

=====

total magnetic moment of number 5 (La3Al2Cd3)?
0.0 μB per formula unit

=====

Please write out number 8 again, unchanged.
# PBE La3AlCd2, relaxed
# Energy of formation from the pure elements   -0.3316 eV per atom
# Density   6265 kg/m3
# Total magnetic moment   0.0 μB per formula unit
# Offset from the most stable computed form   0.010 eV per atom
data_La3AlCd2
_chemical_formula_sum 'La6 Al2 Cd4'
_space_group_name_H-M_alt 'P -3 m 1'
_space_group_IT_number 164
_space_group_name_Hall '-P 3 2"'
_cell_length_a 5.5045
_cell_length_b 5.5045
_cell_length_c 13.5054
_cell_angle_alpha 90.00
_cell_angle_beta 90.00
_cell_angle_gamma 120.00
loop_
_atom_site_label
_atom_site_type_symbol
_atom_site_fract_x
_atom_site_fract_y
_atom_site_fract_z
La1 La 0.0000 0.0000 0.2444
La2 La 0.3333 0.6667 0.4103
La3 La 0.3333 0.6667 0.9163
Al1 Al 0.3333 0.6667 0.1639
Cd1 Cd 0.0000 0.0000 0.0000
Cd2 Cd 0.0000 0.0000 0.5000
Cd3 Cd 0.3333 0.6667 0.6649